Compound: KNa2ScI6
Source: Alexandria via LeMat-Bulk
Functional: PBE
Structure: optimized geometry

abc: 8.070 8.069 8.688
angles: 62.31 62.30 59.96
Element x y z (fractional)
Sc 0.329 0.329 0.013
I 0.381 0.710 0.771
I 0.561 0.248 0.234
I 0.138 0.382 0.771
I 0.248 0.957 0.234
I 0.710 0.137 0.771
I 0.957 0.561 0.234
Na 0.004 0.004 0.989
Na 0.518 0.518 0.446
K 0.815 0.816 0.553

M_tot: 0.0 μB per formula unit
Raw formation energy: -1.269 eV/atom
Symmetry: R3, No. 146

Compound: KTeAu2
Source: Alexandria via LeMat-Bulk
Functional: PBE
Structure: optimized geometry

abc: 3.016 3.016 10.978
angles: 90.00 90.00 92.90
Element x y z (fractional)
Te 0.500 0.500 0.750
Au 0.000 0.000 0.485
Au 0.000 0.000 0.015
K 0.500 0.500 0.250

M_tot: 0.0 μB per formula unit
Raw formation energy: 0.144 eV/atom
Symmetry: Cmmm, No. 65

Compound: PrDyAlPb
Source: Alexandria via LeMat-Bulk
Functional: PBE
Structure: optimized geometry

abc: 5.395 5.395 5.395
angles: 60.00 60.00 60.00
Element x y z (fractional)
Pr 0.000 0.000 0.000
Pb 0.250 0.250 0.250
Dy 0.500 0.500 0.500
Al 0.750 0.750 0.750

M_tot: 0.0 μB per formula unit
ΔE_f: -128 kJ/mol of formula units
Symmetry: F-43m, No. 216

Compound: MnGa6Ru5
Source: Alexandria via LeMat-Bulk
Functional: PBE
Structure: optimized geometry

abc: 4.261 6.122 7.430
angles: 114.33 106.66 90.00
Element x y z (fractional)
Ga 0.500 0.733 0.000
Ga 0.171 0.913 0.343
Ga 0.171 0.429 0.343
Ga 0.500 0.267 0.000
Ga 0.829 0.571 0.657
Ga 0.829 0.087 0.657
Ru 0.670 0.670 0.339
Ru 0.652 0.152 0.305
Ru 0.000 0.500 0.000
Ru 0.330 0.330 0.661
Ru 0.348 0.848 0.695
Mn 0.000 0.000 0.000

M_tot: 3.8 μB per formula unit
ΔE_f: -362 kJ/mol of formula units
Symmetry: Immm, No. 71

- Number 3 is which compound?
  PrDyAlPb

- Which of these has the highest M_tot?
  MnGa6Ru5

- What is the formula in the second record?
  KTeAu2